1.
The following is a DFT calculation (GGA-PBE) of a relaxed structure of CaTbY2Sb4.

calculated volume = 30.7 Å³ per atom
E_form (uncorrected) = -1.056 eV/atom

Cell lengths 7.685, 4.397, 7.688 Å; angles 90.00, 109.11, 90.00 degrees
Positions (direct):
Ca1 0.000 0.000 0.000
Tb1 0.500 0.500 0.000
Y1 0.000 0.500 0.500
Y2 0.500 0.000 0.500
Sb1 0.252 0.000 0.747
Sb2 0.256 0.500 0.256
Sb3 0.744 0.500 0.744
Sb4 0.748 0.000 0.253

2.
The following is a DFT calculation (GGA-PBE) of a relaxed structure of Ca2TbZrSb4.

calculated volume = 30.0 Å³ per atom
E_form (uncorrected) = -0.875 eV/atom

Cell lengths 7.512, 4.301, 7.817 Å; angles 90.00, 108.32, 90.00 degrees
Positions (direct):
Ca1 0.000 0.000 0.000
Ca2 0.500 0.500 0.000
Tb1 0.000 0.500 0.500
Zr1 0.500 0.000 0.500
Sb1 0.257 0.000 0.735
Sb2 0.268 0.500 0.271
Sb3 0.732 0.500 0.729
Sb4 0.743 0.000 0.265

3.
The following is a DFT calculation (GGA-PBE) of a relaxed structure of CaTc2Sb.

calculated volume = 20.6 Å³ per atom
E_form (uncorrected) = 0.364 eV/atom

Cell lengths 3.266, 4.781, 5.284 Å; angles 90.00, 94.08, 90.00 degrees
Positions (direct):
Ca1 0.000 0.000 0.000
Tc1 0.442 0.500 0.786
Tc2 0.558 0.500 0.214
Sb1 0.500 0.000 0.500

4.
The following is a DFT calculation (GGA-PBE) of a relaxed structure of CaTc2Sb.

calculated volume = 20.1 Å³ per atom
E_form (uncorrected) = 0.226 eV/atom

Cell lengths 3.344, 4.457, 5.574 Å; angles 90.00, 104.38, 90.00 degrees
Positions (direct):
Ca1 0.000 0.000 0.000
Tc1 0.298 0.500 0.678
Tc2 0.503 0.000 0.532
Sb1 0.628 0.500 0.266

5.
The following is a DFT calculation (GGA-PBE) of a relaxed structure of CaTcSb3.

calculated volume = 25.0 Å³ per atom
E_form (uncorrected) = -0.380 eV/atom

Cell lengths 13.179, 6.252, 6.060 Å; angles 90.00, 90.00, 90.00 degrees
Positions (direct):
Ca1 0.193 0.009 0.250
Ca2 0.193 0.491 0.750
Ca3 0.807 0.509 0.250
Ca4 0.807 0.991 0.750
Tc1 0.399 0.250 0.000
Tc2 0.399 0.250 0.500
Tc3 0.601 0.750 0.000
Tc4 0.601 0.750 0.500
Sb1 0.000 0.250 0.000
Sb2 0.000 0.250 0.500
Sb3 0.000 0.750 0.000
Sb4 0.000 0.750 0.500
Sb5 0.289 0.521 0.250
Sb6 0.289 0.979 0.750
Sb7 0.439 0.605 0.750
Sb8 0.439 0.895 0.250
Sb9 0.561 0.105 0.750
Sb10 0.561 0.395 0.250
Sb11 0.711 0.021 0.250
Sb12 0.711 0.479 0.750

6.
The following is a DFT calculation (GGA-PBE) of a relaxed structure of CaTc2Sb.

calculated volume = 22.9 Å³ per atom
E_form (uncorrected) = 0.420 eV/atom

Cell lengths 10.323, 10.323, 10.323 Å; angles 155.92, 155.92, 34.32 degrees
Positions (direct):
Ca1 0.000 0.000 0.000
Ca2 0.750 0.250 0.500
Tc1 0.243 0.625 0.118
Tc2 0.375 0.493 0.618
Tc3 0.507 0.125 0.882
Tc4 0.875 0.757 0.382
Sb1 0.250 0.750 0.500
Sb2 0.500 0.500 0.000

7.
The following is a DFT calculation (GGA-PBE) of a relaxed structure of CaTc2Sb.

calculated volume = 19.7 Å³ per atom
E_form (uncorrected) = 0.361 eV/atom

Cell lengths 3.433, 3.433, 6.697 Å; angles 90.00, 90.00, 90.00 degrees
Positions (direct):
Ca1 0.000 0.000 0.000
Tc1 0.500 0.500 0.301
Tc2 0.500 0.500 0.699
Sb1 0.000 0.000 0.500

8.
The following is a DFT calculation (GGA-PBE) of a relaxed structure of CaTc2Sb.

calculated volume = 23.0 Å³ per atom
E_form (uncorrected) = -0.030 eV/atom

Cell lengths 6.296, 6.296, 6.296 Å; angles 39.73, 39.73, 39.73 degrees
Positions (direct):
Ca1 0.000 0.000 0.000
Tc1 0.213 0.213 0.213
Tc2 0.524 0.524 0.524
Sb1 0.789 0.789 0.789

9.
The following is a DFT calculation (GGA-PBE) of a relaxed structure of CaTc2Sb.

calculated volume = 21.9 Å³ per atom
E_form (uncorrected) = 0.242 eV/atom

Cell lengths 5.139, 5.139, 5.174 Å; angles 104.83, 104.83, 41.78 degrees
Positions (direct):
Ca1 0.000 0.000 0.000
Tc1 0.233 0.233 0.640
Tc2 0.767 0.767 0.360
Sb1 0.500 0.500 0.500

10.
The following is a DFT calculation (GGA-PBE) of a relaxed structure of Ca4Tc2Sb.

calculated volume = 37.0 Å³ per atom
E_form (uncorrected) = 0.518 eV/atom

Cell lengths 8.272, 8.272, 8.272 Å; angles 137.13, 137.13, 62.24 degrees
Positions (direct):
Ca1 0.000 0.500 0.500
Ca2 0.210 0.210 0.000
Ca3 0.500 0.000 0.500
Ca4 0.790 0.790 0.000
Tc1 0.425 0.425 0.000
Tc2 0.575 0.575 0.000
Sb1 0.000 0.000 0.000

11.
The following is a DFT calculation (GGA-PBE) of a relaxed structure of CaTc4Sb12.

calculated volume = 25.3 Å³ per atom
E_form (uncorrected) = -0.063 eV/atom

Cell lengths 8.233, 8.233, 8.233 Å; angles 109.47, 109.47, 109.47 degrees
Positions (direct):
Ca1 0.000 0.000 0.000
Tc1 0.000 0.000 0.500
Tc2 0.000 0.500 0.000
Tc3 0.500 0.000 0.000
Tc4 0.500 0.500 0.500
Sb1 0.158 0.497 0.338
Sb2 0.158 0.820 0.662
Sb3 0.180 0.338 0.842
Sb4 0.338 0.158 0.497
Sb5 0.338 0.842 0.180
Sb6 0.497 0.338 0.158
Sb7 0.503 0.662 0.842
Sb8 0.662 0.158 0.820
Sb9 0.662 0.842 0.503
Sb10 0.820 0.662 0.158
Sb11 0.842 0.180 0.338
Sb12 0.842 0.503 0.662

12.
The following is a DFT calculation (GGA-PBE) of a relaxed structure of Ca3TcSb.

calculated volume = 31.4 Å³ per atom
E_form (uncorrected) = 0.307 eV/atom

Cell lengths 5.394, 5.394, 5.394 Å; angles 90.00, 90.00, 90.00 degrees
Positions (direct):
Ca1 0.000 0.000 0.500
Ca2 0.000 0.500 0.000
Ca3 0.500 0.000 0.000
Tc1 0.000 0.000 0.000
Sb1 0.500 0.500 0.500

13.
The following is a DFT calculation (GGA-PBE) of a relaxed structure of CaTc2Sb.

calculated volume = 18.7 Å³ per atom
E_form (uncorrected) = 0.278 eV/atom

Cell lengths 5.700, 5.700, 5.700 Å; angles 147.11, 131.52, 59.83 degrees
Positions (direct):
Ca1 0.000 0.000 0.000
Tc1 0.513 0.513 0.000
Tc2 0.731 0.231 0.500
Sb1 0.281 0.781 0.500

14.
The following is a DFT calculation (GGA-PBE) of a relaxed structure of CaTc2Sb.

calculated volume = 18.6 Å³ per atom
E_form (uncorrected) = 0.351 eV/atom

Cell lengths 4.722, 4.722, 4.722 Å; angles 60.00, 60.00, 60.00 degrees
Positions (direct):
Ca1 0.000 0.000 0.000
Tc1 0.500 0.500 0.500
Tc2 0.750 0.750 0.750
Sb1 0.250 0.250 0.250

15.
The following is a DFT calculation (GGA-PBE) of a relaxed structure of CaTc2Sb.

calculated volume = 19.7 Å³ per atom
E_form (uncorrected) = 0.560 eV/atom

Cell lengths 8.971, 8.971, 8.971 Å; angles 20.65, 20.65, 20.65 degrees
Positions (direct):
Ca1 0.000 0.000 0.000
Tc1 0.240 0.240 0.240
Tc2 0.760 0.760 0.760
Sb1 0.500 0.500 0.500

16.
The following is a DFT calculation (GGA-PBE) of a relaxed structure of CaTc2Sb2.

calculated volume = 19.8 Å³ per atom
E_form (uncorrected) = 0.008 eV/atom

Cell lengths 7.800, 7.800, 3.248 Å; angles 90.00, 90.00, 90.00 degrees
Positions (direct):
Ca1 0.000 0.000 0.000
Ca2 0.500 0.500 0.000
Tc1 0.136 0.364 0.000
Tc2 0.364 0.864 0.000
Tc3 0.636 0.136 0.000
Tc4 0.864 0.636 0.000
Sb1 0.157 0.657 0.500
Sb2 0.343 0.157 0.500
Sb3 0.657 0.843 0.500
Sb4 0.843 0.343 0.500

17.
The following is a DFT calculation (GGA-PBE) of a relaxed structure of CaTcSb4.

calculated volume = 28.1 Å³ per atom
E_form (uncorrected) = 0.512 eV/atom

Cell lengths 6.199, 6.199, 6.199 Å; angles 60.00, 60.00, 60.00 degrees
Positions (direct):
Ca1 0.000 0.000 0.000
Tc1 0.250 0.250 0.250
Sb1 0.127 0.624 0.624
Sb2 0.624 0.127 0.624
Sb3 0.624 0.624 0.127
Sb4 0.624 0.624 0.624

18.
The following is a DFT calculation (GGA-PBE) of a relaxed structure of CaTc2Sb.

calculated volume = 20.2 Å³ per atom
E_form (uncorrected) = 0.061 eV/atom

Cell lengths 3.127, 3.127, 8.245 Å; angles 90.00, 90.00, 90.00 degrees
Positions (direct):
Ca1 0.000 0.000 0.000
Tc1 0.000 0.000 0.564
Tc2 0.500 0.500 0.736
Sb1 0.500 0.500 0.336

19.
The following is a DFT calculation (GGA-PBE) of a relaxed structure of CaTc3Sb.

calculated volume = 21.0 Å³ per atom
E_form (uncorrected) = 2.290 eV/atom

Cell lengths 4.718, 4.718, 4.718 Å; angles 90.00, 90.00, 90.00 degrees
Positions (direct):
Ca1 0.000 0.000 0.000
Tc1 0.000 0.000 0.500
Tc2 0.000 0.500 0.000
Tc3 0.500 0.000 0.000
Sb1 0.500 0.500 0.500

20.
The following is a DFT calculation (GGA-PBE) of a relaxed structure of Ca2TcSb2.

calculated volume = 24.9 Å³ per atom
E_form (uncorrected) = -0.419 eV/atom

Cell lengths 7.153, 7.153, 4.866 Å; angles 90.00, 90.00, 90.00 degrees
Positions (direct):
Ca1 0.172 0.328 0.000
Ca2 0.328 0.828 0.000
Ca3 0.672 0.172 0.000
Ca4 0.828 0.672 0.000
Tc1 0.000 0.000 0.500
Tc2 0.500 0.500 0.500
Sb1 0.147 0.647 0.500
Sb2 0.353 0.147 0.500
Sb3 0.647 0.853 0.500
Sb4 0.853 0.353 0.500

21.
The following is a DFT calculation (GGA-PBE) of a relaxed structure of Ca3TcSb.

calculated volume = 40.0 Å³ per atom
E_form (uncorrected) = 0.582 eV/atom

Cell lengths 5.847, 5.847, 5.847 Å; angles 90.00, 90.00, 90.00 degrees
Positions (direct):
Ca1 0.000 0.000 0.500
Ca2 0.000 0.500 0.000
Ca3 0.500 0.000 0.000
Tc1 0.500 0.500 0.500
Sb1 0.000 0.000 0.000

22.
The following is a DFT calculation (GGA-PBE) of a relaxed structure of CaTc3Sb.

calculated volume = 24.0 Å³ per atom
E_form (uncorrected) = 1.323 eV/atom

Cell lengths 4.931, 4.931, 4.931 Å; angles 90.00, 90.00, 90.00 degrees
Positions (direct):
Ca1 0.000 0.000 0.000
Tc1 0.000 0.500 0.500
Tc2 0.500 0.000 0.500
Tc3 0.500 0.500 0.000
Sb1 0.500 0.500 0.500

23.
The following is a DFT calculation (GGA-PBE) of a relaxed structure of CaTc2Sb2.

calculated volume = 22.8 Å³ per atom
E_form (uncorrected) = -0.127 eV/atom

Cell lengths 6.417, 6.417, 6.417 Å; angles 138.73, 138.73, 59.78 degrees
Positions (direct):
Ca1 0.000 0.000 0.000
Tc1 0.250 0.750 0.500
Tc2 0.750 0.250 0.500
Sb1 0.368 0.368 0.000
Sb2 0.632 0.632 0.000

24.
The following is a DFT calculation (GGA-PBE) of a relaxed structure of CaTc2Sb.

calculated volume = 18.4 Å³ per atom
E_form (uncorrected) = 0.412 eV/atom

Cell lengths 4.185, 4.185, 4.212 Å; angles 90.00, 90.00, 90.00 degrees
Positions (direct):
Ca1 0.000 0.000 0.000
Tc1 0.000 0.500 0.500
Tc2 0.500 0.000 0.500
Sb1 0.500 0.500 0.000

25.
The following is a DFT calculation (GGA-PBE) of a relaxed structure of CaTc2Sb.

calculated volume = 19.2 Å³ per atom
E_form (uncorrected) = 0.465 eV/atom

Cell lengths 5.465, 5.465, 5.465 Å; angles 144.21, 125.48, 66.95 degrees
Positions (direct):
Ca1 0.000 0.000 0.000
Tc1 0.271 0.771 0.500
Tc2 0.729 0.229 0.500
Sb1 0.500 0.500 0.000

26.
The following is a DFT calculation (GGA-PBE) of a relaxed structure of CaTcSb3.

calculated volume = 28.9 Å³ per atom
E_form (uncorrected) = 0.122 eV/atom

Cell lengths 5.245, 5.245, 5.245 Å; angles 90.00, 90.00, 90.00 degrees
Positions (direct):
Ca1 0.000 0.000 0.000
Tc1 0.500 0.500 0.500
Sb1 0.000 0.500 0.500
Sb2 0.500 0.000 0.500
Sb3 0.500 0.500 0.000

27.
The following is a DFT calculation (GGA-PBE) of a relaxed structure of CaTc2Sb.

calculated volume = 19.6 Å³ per atom
E_form (uncorrected) = 0.646 eV/atom

Cell lengths 3.089, 3.089, 8.898 Å; angles 90.00, 90.00, 112.62 degrees
Positions (direct):
Ca1 0.000 0.000 0.000
Tc1 0.500 0.500 0.276
Tc2 0.500 0.500 0.724
Sb1 0.000 0.000 0.500

| no. | M_tot (μB/cell) |
| --- | --- |
| 1 | 0.00 |
| 2 | 0.00 |
| 3 | 0.00 |
| 4 | 0.00 |
| 5 | 0.00 |
| 6 | 0.00 |
| 7 | 1.48 |
| 8 | 0.00 |
| 9 | 0.00 |
| 10 | 4.12 |
| 11 | 2.73 |
| 12 | 2.00 |
| 13 | 0.36 |
| 14 | 1.66 |
| 15 | 0.00 |
| 16 | 0.00 |
| 17 | 3.56 |
| 18 | 0.00 |
| 19 | 4.00 |
| 20 | 1.48 |
| 21 | 3.81 |
| 22 | 3.23 |
| 23 | 0.73 |
| 24 | 0.21 |
| 25 | 0.00 |
| 26 | 0.00 |
| 27 | 0.00 |